# 1
The following is a DFT calculation (PBE) of a relaxed structure of Dy5Er4Th2.

Unit cell a=3.521 b=11.166 c=8.805 alpha=90.93 beta=90.09 gamma=89.33
Sites, in units of the cell vectors:
Er (0.208, 0.738, 0.916)
Er (0.792, 0.262, 0.084)
Er (0.250, 0.204, 0.732)
Er (0.750, 0.796, 0.268)
Dy (0.235, 0.088, 0.359)
Dy (0.765, 0.912, 0.641)
Dy (0.500, 0.000, 0.000)
Dy (0.742, 0.478, 0.818)
Dy (0.258, 0.522, 0.182)
Th (0.753, 0.362, 0.456)
Th (0.247, 0.638, 0.544)

symmetry = P-1, No. 2
ΔE_f = 0.05 eV/atom
total energy = -5.05 eV/atom

---

# 2
The following is a DFT calculation (PBE) of a relaxed structure of SrBeCl.

Unit cell a=4.187 b=4.187 c=6.783 alpha=90.00 beta=90.00 gamma=120.00
Sites, in units of the cell vectors:
Sr (0.333, 0.667, 0.644)
Be (0.000, 0.000, 0.947)
Cl (0.667, 0.333, 0.409)

symmetry = P3m1, No. 156
total energy = -2.64 eV/atom

---

Number 1: distance to the lowest polymorph of the same formula 0 meV/atom, M_tot 0.000 μB/atom. Number 2: distance to the lowest polymorph of the same formula 69 meV/atom, M_tot 0.000 μB/atom.